The following is a GGA-PBE calculation of crystalline ZrTa2Sb at its relaxed geometry, from Alexandria.

The structure belongs to space group Cmmm (No. 65); the cell edges are 3.584, 5.036 and 9.073 Å and the angles 90.00°, 90.00° and 90.00°. The inequivalent atoms are Zr at (0.000, 0.000, 0.000), Ta at (0.000, 0.500, 0.257) and Sb at (0.000, 0.000, 0.500).

The total energy is -71.6 eV per cell. Its total magnetization is 0.000 μB/atom.

The following is a GGA-PBE calculation of crystalline ZrTa2Sb at its relaxed geometry, from Alexandria.

The structure belongs to space group P4/mmm (No. 123); the cell edges are 3.611, 3.611 and 6.156 Å and the angles 90.00°, 90.00° and 90.00°. The inequivalent atoms are Zr at (0.000, 0.000, 0.000), Ta at (0.500, 0.500, 0.258) and Sb at (0.000, 0.000, 0.500).

The total energy is -36.6 eV per cell. Its total magnetization is 0.000 μB/atom.

The following is a GGA-PBE calculation of crystalline ZrTa2Sb at its relaxed geometry, from Alexandria.

The structure belongs to space group P4mm (No. 99); the cell edges are 3.045, 3.045 and 8.952 Å and the angles 90.00°, 90.00° and 90.00°. The inequivalent atoms are Zr at (0.000, 0.000, 0.000), Ta at (0.000, 0.000, 0.508), Ta at (0.500, 0.500, 0.752) and Sb at (0.500, 0.500, 0.271).

The total energy is -35.6 eV per cell. Its total magnetization is 0.000 μB/atom.

The following is a GGA-PBE calculation of crystalline ZrTaSb at its relaxed geometry, from Alexandria.

The structure belongs to space group F-43m (No. 216); the cell edges are 6.581, 6.581 and 6.581 Å and the angles 90.00°, 90.00° and 90.00°. The inequivalent atoms are Zr at (0.000, 0.000, 0.000), Ta at (0.000, 0.000, 0.500) and Sb at (0.250, 0.250, 0.750).

The total energy is -94.9 eV per cell. Its total magnetization is 0.000 μB/atom.

The following is a GGA-PBE calculation of crystalline ZrTaSb at its relaxed geometry, from Alexandria.

The structure belongs to space group P-6m2 (No. 187); the cell edges are 4.9937, 4.9937 and 2.9631 Å and the angles 90.00°, 90.00° and 120.00°. The inequivalent atoms are Zr at (0.0000, 0.0000, 0.0000), Ta at (0.3333, 0.6667, 0.5000) and Sb at (0.6667, 0.3333, 0.5000).

The total energy is -24.5 eV per cell. Its total magnetization is 0.000 μB/atom.

The following is a GGA-PBE calculation of crystalline ZrTa2Sb at its relaxed geometry, from Alexandria.

The structure belongs to space group I-42d (No. 122); the cell edges are 4.087, 4.087 and 20.776 Å and the angles 90.00°, 90.00° and 90.00°. The inequivalent atoms are Zr at (0.000, 0.000, 0.000), Ta at (0.246, 0.250, 0.625) and Sb at (0.000, 0.000, 0.500).

The total energy is -140.2 eV per cell. Its total magnetization is 0.000 μB/atom.